Entry 1:
SCAN ZrSiAs2, PBEsol geometry; E above lowest polymorph = 30 meV/atom; formation energy from raw total energies = -64.66 kJ per mole of atoms; V = 17.988 A^3/atom; D(E_F) = 0.1 states/eV per cell; SG = No. 8; energy = -20.944 eV/atom
1.0
-1.917 0.173 -3.172
1.060 -3.536 -0.833
-3.205 -1.834 4.008
As Zr Si
2 1 1
direct
0.995 0.893 0.991 As
0.285 0.372 0.569 As
0.707 0.868 0.413 Zr
0.513 0.368 0.027 Si

Entry 2:
SCAN AgP2IrO, PBEsol geometry; formation energy from raw total energies = 35.78 kJ per mole of atoms; V = 16.721 A^3/atom; D(E_F) = 3.8 states/eV per cell; SG = No. 123; energy = -25.528 eV/atom
1.0
3.634 0.000 0.000
0.000 4.797 0.000
0.000 0.000 4.797
Ir P Ag O
1 2 1 1
direct
0.000 0.000 0.000 Ir
0.000 0.000 0.500 P
0.000 0.500 0.000 P
0.500 0.500 0.500 Ag
0.500 0.000 0.000 O

Entry 3:
SCAN CoSbAu2, PBEsol geometry; formation energy from raw total energies = 18.42 kJ per mole of atoms; V = 17.071 A^3/atom; D(E_F) = 1.3 states/eV per cell; SG = No. 8; energy = -48.029 eV/atom
1.0
3.563 0.000 0.000
-1.781 4.223 -0.077
0.000 -1.339 4.562
Au Sb Co
2 1 1
direct
0.995 0.990 0.990 Au
0.238 0.475 0.739 Au
0.770 0.540 0.306 Sb
0.497 0.994 0.466 Co

Entry 4:
SCAN LaZn2Os, PBEsol geometry; V = 17.866 A^3/atom; D(E_F) = 1.3 states/eV per cell; SG = No. 139; energy = -35.495 eV/atom; formation enthalpy at 0 K = 0.0090 eV/atom
1.0
4.216 0.000 0.000
0.000 4.221 0.000
-2.108 -2.111 4.015
Os Zn La
1 2 1
direct
0.500 0.000 0.000 Os
0.250 0.250 0.500 Zn
0.750 0.750 0.500 Zn
0.000 0.500 0.000 La

Entry 5:
SCAN Mg4CrRu, PBEsol geometry; V = 17.823 A^3/atom; D(E_F) = 5.2 states/eV per cell; SG = No. 216; energy = -11.713 eV/atom; formation enthalpy at 0 K = 0.4711 eV/atom
1.0
-1.090 4.292 -2.963
-5.045 1.594 -0.626
-1.684 4.486 2.328
Cr Mg Ru
1 4 1
direct
0.000 0.000 0.000 Cr
0.376 0.376 0.873 Mg
0.376 0.376 0.376 Mg
0.873 0.376 0.376 Mg
0.376 0.873 0.376 Mg
0.750 0.750 0.750 Ru

Entry 6:
SCAN La2ScAl, PBEsol geometry; V = 27.287 A^3/atom; D(E_F) = 3.6 states/eV per cell; SG = No. 44; energy = -27.233 eV/atom; formation enthalpy at 0 K = -0.1829 eV/atom
1.0
-1.660 3.154 -1.108
-4.264 -1.187 3.010
5.198 1.675 3.266
Sc Al La
1 1 2
direct
0.465 0.465 0.931 Sc
0.767 0.268 0.535 Al
0.242 0.742 0.484 La
0.025 0.025 0.050 La

Entry 7:
SCAN NbGePt, PBEsol geometry; V = 15.788 A^3/atom; D(E_F) = 5.8 states/eV per cell; SG = No. 62; energy = -41.502 eV/atom; formation enthalpy at 0 K = -0.6985 eV/atom
1.0
3.936 0.000 0.000
0.000 6.421 0.000
0.000 0.000 7.496
Nb Ge Pt
4 4 4
direct
0.750 0.029 0.672 Nb
0.750 0.529 0.828 Nb
0.250 0.971 0.328 Nb
0.250 0.471 0.172 Nb
0.750 0.761 0.125 Ge
0.750 0.261 0.375 Ge
0.250 0.239 0.875 Ge
0.250 0.739 0.625 Ge
0.250 0.847 0.937 Pt
0.750 0.653 0.437 Pt
0.250 0.347 0.563 Pt
0.750 0.153 0.063 Pt

Entry 8:
SCAN TaCo2Ru, PBEsol geometry; E above lowest polymorph = 67 meV/atom; V = 12.520 A^3/atom; D(E_F) = 2.8 states/eV per cell; SG = No. 139; energy = -34.063 eV/atom; formation enthalpy at 0 K = -0.0586 eV/atom
1.0
-0.207 2.596 -2.609
-3.505 -0.938 -0.655
0.731 1.613 4.152
Co Ta Ru
2 1 1
direct
0.750 0.250 0.500 Co
0.250 0.750 0.500 Co
0.500 0.500 0.000 Ta
0.000 0.000 0.000 Ru

Entry 9:
SCAN CaHg, PBEsol geometry; V = 26.825 A^3/atom; D(E_F) = 4.3 states/eV per cell; SG = No. 198; energy = -39.521 eV/atom; formation enthalpy at 0 K = -0.6066 eV/atom
1.0
5.987 0.000 0.000
0.000 5.987 0.000
0.000 0.000 5.987
Ca Hg
4 4
direct
0.581 0.919 0.081 Ca
0.081 0.581 0.919 Ca
0.419 0.419 0.419 Ca
0.919 0.081 0.581 Ca
0.411 0.911 0.589 Hg
0.589 0.411 0.911 Hg
0.089 0.089 0.089 Hg
0.911 0.589 0.411 Hg

Entry 10:
SCAN CdInTe2I, PBEsol geometry; formation energy from raw total energies = 28.02 kJ per mole of atoms; V = 36.079 A^3/atom; D(E_F) = 4.3 states/eV per cell; SG = No. 123; energy = -34.718 eV/atom
1.0
5.634 0.000 0.000
0.000 5.634 0.000
0.000 0.000 5.684
In Te I Cd
1 2 1 1
direct
0.000 0.000 0.000 In
0.000 0.500 0.000 Te
0.500 0.000 0.000 Te
0.000 0.000 0.500 I
0.500 0.500 0.500 Cd

Entry 11:
SCAN CrFeRh2, PBEsol geometry; V = 12.319 A^3/atom; D(E_F) = 3.0 states/eV per cell; SG = No. 25; energy = -26.103 eV/atom; formation enthalpy at 0 K = -0.0888 eV/atom
1.0
-0.708 2.154 -1.282
-3.059 0.134 1.916
2.393 2.938 3.615
Rh Cr Fe
2 1 1
direct
0.500 0.500 0.266 Rh
0.000 0.000 0.981 Rh
0.000 0.000 0.509 Cr
0.500 0.500 0.744 Fe

Entry 12:
SCAN MgSc2P, PBEsol geometry; E above lowest polymorph = 721 meV/atom; V = 18.712 A^3/atom; D(E_F) = 4.7 states/eV per cell; SG = No. 216; energy = -10.891 eV/atom; formation enthalpy at 0 K = 0.0711 eV/atom
1.0
-3.852 1.566 -2.256
-4.022 0.695 2.391
-1.566 4.397 0.767
Sc Mg P
2 1 1
direct
0.750 0.750 0.750 Sc
0.000 0.000 0.000 Sc
0.500 0.500 0.500 Mg
0.250 0.250 0.250 P

Q: Which of these has the lowest energy?
A: CoSbAu2